(1)
DFT (GGA-PBE) results for a relaxed structure of TbYAl.

The value obtained for the calculated total energy is -30.77 eV for the cell shown. The density is 5.46 Mg/m³. For the energy of formation from the pure elements, the calculation gives -0.18 eV per atom. The value obtained for the total magnetization is 0.8 Bohr magnetons per cell.

Unit cell a=4.5273 b=4.5273 c=8.1576 alpha=90.00 beta=90.00 gamma=90.00
With the nearest neighbours (Å) after each atom.
Atoms (fractional coordinates):
Tb1 0.2500 0.7500 0.0000  4 Al 3.14, 4 Tb 3.20
Tb2 0.7500 0.2500 0.0000  4 Al 3.14, 4 Tb 3.20
Y1 0.2500 0.2500 0.3584  5 Al 3.06-3.29
Y2 0.7500 0.7500 0.6416  5 Al 3.06-3.29
Al1 0.2500 0.2500 0.7333  5 Y 3.06-3.29, 4 Tb 3.14
Al2 0.7500 0.7500 0.2667  5 Y 3.06-3.29, 4 Tb 3.14

(2)
DFT (GGA-PBE) results for a relaxed structure of Tb2Y6Al.

The value obtained for the calculated total energy is -103.93 eV for the cell shown. The density is 5.31 Mg/m³. For the energy of formation from the pure elements, the calculation gives -0.02 eV per atom. The value obtained for the total magnetization is 0.0 Bohr magnetons per cell.

Unit cell a=9.8851 b=10.2977 c=5.3956 alpha=90.00 beta=90.00 gamma=90.00
With the nearest neighbours (Å) after each atom.
Atoms (fractional coordinates):
Tb1 0.1958 0.2389 0.0000  10 Y 3.27-3.62
Tb2 0.3042 0.7389 0.5000  10 Y 3.27-3.62
Tb3 0.6958 0.2611 0.5000  10 Y 3.27-3.62
Tb4 0.8042 0.7611 0.0000  10 Y 3.27-3.62
Y1 0.0217 0.3133 0.5000  1 Al 3.23, 3 Tb 3.27-3.29, 3 Y 3.51-3.62
Y2 0.1327 0.8928 0.0000  2 Al 3.20, 3 Y 3.42-3.51, 3 Tb 3.52-3.56
Y3 0.1865 0.5652 0.0000  1 Al 3.17, 3 Tb 3.36-3.44, 1 Y 3.42
Y4 0.3135 0.0652 0.5000  1 Al 3.17, 3 Tb 3.36-3.44, 1 Y 3.42
Y5 0.3673 0.3928 0.5000  2 Al 3.20, 3 Y 3.42-3.51, 3 Tb 3.52-3.56
Y6 0.4783 0.8133 0.0000  1 Al 3.23, 3 Tb 3.27-3.29, 3 Y 3.51-3.62
Y7 0.5217 0.1867 0.0000  1 Al 3.23, 3 Tb 3.27-3.29, 3 Y 3.51-3.62
Y8 0.6327 0.6072 0.5000  2 Al 3.20, 3 Y 3.42-3.51, 3 Tb 3.52-3.56
Y9 0.6865 0.9348 0.5000  1 Al 3.17, 3 Tb 3.36-3.44, 1 Y 3.42
Y10 0.8135 0.4348 0.0000  1 Al 3.17, 3 Tb 3.36-3.44, 1 Y 3.42
Y11 0.8673 0.1072 0.0000  2 Al 3.20, 3 Y 3.42-3.51, 3 Tb 3.52-3.56
Y12 0.9783 0.6867 0.5000  1 Al 3.23, 3 Tb 3.27-3.29, 3 Y 3.51-3.62
Al1 0.0000 0.0000 0.5000  8 Y 3.17-3.23
Al2 0.5000 0.5000 0.0000  8 Y 3.17-3.23

(3)
DFT (GGA-PBE) results for a relaxed structure of Tb2YAl.

The value obtained for the calculated total energy is -19.03 eV for the cell shown. The density is 5.99 Mg/m³. For the energy of formation from the pure elements, the calculation gives 0.11 eV per atom. The value obtained for the total magnetization is 0.9 Bohr magnetons per cell.

Unit cell a=11.6528 b=11.6528 c=11.6528 alpha=17.17 beta=17.17 gamma=17.17
With the nearest neighbours (Å) after each atom.
Atoms (fractional coordinates):
Tb1 0.1004 0.1004 0.1004  3 Al 3.04
Tb2 0.8996 0.8996 0.8996  3 Al 3.04
Y1 0.0000 0.0000 0.0000  2 Tb 3.46, 6 Y 3.48
Al1 0.5000 0.5000 0.5000  6 Tb 3.04

(4)
DFT (GGA-PBE) results for a relaxed structure of Tb2YAl.

The value obtained for the calculated total energy is -19.74 eV for the cell shown. The density is 6.13 Mg/m³. For the energy of formation from the pure elements, the calculation gives -0.07 eV per atom. The value obtained for the total magnetization is 0.7 Bohr magnetons per cell.

Unit cell a=10.6449 b=10.6449 c=10.6449 alpha=19.50 beta=19.50 gamma=19.50
With the nearest neighbours (Å) after each atom.
Atoms (fractional coordinates):
Tb1 0.0000 0.0000 0.0000  3 Al 3.09
Tb2 0.1885 0.1885 0.1885  3 Al 3.07
Y1 0.4279 0.4279 0.4279  6 Tb 3.60-3.62, 6 Y 3.61
Al1 0.5939 0.5939 0.5939  6 Tb 3.07-3.09

Copy entry 1 word for word.
DFT (GGA-PBE) results for a relaxed structure of TbYAl.

The value obtained for the calculated total energy is -30.77 eV for the cell shown. The density is 5.46 Mg/m³. For the energy of formation from the pure elements, the calculation gives -0.18 eV per atom. The value obtained for the total magnetization is 0.8 Bohr magnetons per cell.

Unit cell a=4.5273 b=4.5273 c=8.1576 alpha=90.00 beta=90.00 gamma=90.00
With the nearest neighbours (Å) after each atom.
Atoms (fractional coordinates):
Tb1 0.2500 0.7500 0.0000  4 Al 3.14, 4 Tb 3.20
Tb2 0.7500 0.2500 0.0000  4 Al 3.14, 4 Tb 3.20
Y1 0.2500 0.2500 0.3584  5 Al 3.06-3.29
Y2 0.7500 0.7500 0.6416  5 Al 3.06-3.29
Al1 0.2500 0.2500 0.7333  5 Y 3.06-3.29, 4 Tb 3.14
Al2 0.7500 0.7500 0.2667  5 Y 3.06-3.29, 4 Tb 3.14